# 1
The following is a DFT calculation (GGA-PBE) of a relaxed BeCuSiMo crystal.

Its total energy is -5.516 eV/atom. The polymorph energy (0 for the lowest one) is 34.6 kJ/mol of atoms. The space-group type is F-43m (216).

POSCAR file:
```
BeCuSiMo
1.0
0.000 2.903 2.903
2.903 0.000 2.903
2.903 2.903 0.000
Be Mo Cu Si
1 1 1 1
Cartesian
4.355 4.355 4.355
2.903 2.903 2.903
1.452 1.452 1.452
0.000 0.000 0.000
```

# 2
The following is a DFT calculation (GGA-PBE) of a relaxed Ag2Te2O5 crystal.

Its total energy is -4.563 eV/atom. The polymorph energy (0 for the lowest one) is 0.0 kJ/mol of atoms. The space-group type is P4/mmm (123).

POSCAR file:
```
Ag2Te2O5
1.0
7.251 0.000 0.000
0.000 4.176 0.000
0.000 0.000 4.176
Te O Ag
2 5 2
Cartesian
5.572 2.088 2.088
1.679 2.088 2.088
5.542 0.000 2.088
1.709 0.000 2.088
1.709 2.088 0.000
3.626 2.088 2.088
5.542 2.088 0.000
0.000 0.000 0.000
3.626 0.000 0.000
```

# 3
The following is a DFT calculation (GGA-PBE) of a relaxed DyIrI6 crystal.

Its total energy is -3.557 eV/atom. The space-group type is C2 (5).

POSCAR file:
```
DyIrI6
1.0
1.101 0.113 -7.223
-4.157 -5.227 2.966
-4.815 5.804 0.558
Ir I Dy
1 6 1
Cartesian
0.226 -0.775 -5.529
-2.326 -1.401 -4.845
-4.321 -3.556 -1.457
-6.193 0.380 -2.725
-5.315 2.453 1.180
-1.860 0.126 -0.622
-3.595 4.071 -2.632
-3.285 -4.342 1.276
```

# 4
The following is a DFT calculation (GGA-PBE) of a relaxed HfPt crystal.

Its total energy is -8.885 eV/atom. The space-group type is P6_3/mmc (194). As for the formation energy from the elements: -85 kJ/mol of atoms.

POSCAR file:
```
HfPt
1.0
3.724 0.000 0.000
-1.862 3.225 0.000
0.000 0.000 6.655
Hf Pt
2 2
Cartesian
0.000 0.000 3.328
0.000 0.000 0.000
0.000 2.150 1.664
1.862 1.075 4.991
```